No. 1
Entry from Alexandria: a crystal of Mo3PdO relaxed with PBEsol (meta-GGA SCAN).

Results
- Symmetry: Pm-3m
- Total magnetic moment: 0.000 μB/f.u.
- ΔE_f (raw): -225 meV per atom

a = 4.0545 Å, b = 4.0545 Å, c = 4.0545 Å
α = 90.00°, β = 90.00°, γ = 90.00°
Element x y z (fractional)
Mo: 0.0000 0.0000 0.5000
Mo: 0.0000 0.5000 0.0000
Mo: 0.5000 0.0000 0.0000
Pd: 0.5000 0.5000 0.5000
O: 0.0000 0.0000 0.0000

No. 2
Entry from Alexandria: a crystal of RbMgRuSe2 relaxed with PBEsol (meta-GGA SCAN).

Results
- Symmetry: P4/mmm
- Total magnetic moment: 3.134 μB/f.u.
- ΔE_f (raw): 1474 meV per atom

a = 5.7380 Å, b = 5.7380 Å, c = 4.8273 Å
α = 90.00°, β = 90.00°, γ = 90.00°
Element x y z (fractional)
Rb: 0.0000 0.0000 0.0000
Mg: 0.5000 0.5000 0.5000
Ru: 0.0000 0.0000 0.5000
Se: 0.0000 0.5000 0.0000
Se: 0.5000 0.0000 0.0000

No. 3
Entry from Alexandria: a crystal of MgBi2Pd2 relaxed with PBEsol (meta-GGA SCAN).

Results
- Symmetry: I4/mmm
- Total magnetic moment: 0.000 μB/f.u.
- DFT formation energy: -0.43 eV per formula unit

a = 8.2408 Å, b = 8.2408 Å, c = 8.2408 Å
α = 153.03°, β = 153.03°, γ = 38.51°
Element x y z (fractional)
Mg: 0.0000 0.0000 0.0000
Bi: 0.3805 0.3805 0.0000
Bi: 0.6195 0.6195 0.0000
Pd: 0.2500 0.7500 0.5000
Pd: 0.7500 0.2500 0.5000

No. 4
Entry from Alexandria: a crystal of CaTeP2Cl relaxed with PBEsol (meta-GGA SCAN).

Results
- Symmetry: P4/mmm
- Total magnetic moment: 0.000 μB/f.u.
- ΔE_f (raw): 5 meV per atom

a = 5.0686 Å, b = 5.0686 Å, c = 5.1855 Å
α = 90.00°, β = 90.00°, γ = 90.00°
Element x y z (fractional)
Ca: 0.0000 0.0000 0.0000
Te: 0.5000 0.5000 0.5000
P: 0.0000 0.5000 0.5000
P: 0.5000 0.0000 0.5000
Cl: 0.5000 0.5000 0.0000

No. 5
Entry from Alexandria: a crystal of TlRe2Rh relaxed with PBEsol (meta-GGA SCAN).

Results
- Symmetry: P4/mmm
- Total magnetic moment: 0.000 μB/f.u.
- DFT formation energy: 4.44 eV per formula unit

a = 4.7245 Å, b = 4.7245 Å, c = 2.8496 Å
α = 90.00°, β = 90.00°, γ = 90.00°
Element x y z (fractional)
Tl: 0.0000 0.0000 0.0000
Re: 0.0000 0.5000 0.5000
Re: 0.5000 0.0000 0.5000
Rh: 0.5000 0.5000 0.0000

No. 6
Entry from Alexandria: a crystal of ScTl3Sn relaxed with PBEsol (meta-GGA SCAN).

Results
- Symmetry: Pm-3m
- Total magnetic moment: 0.003 μB/f.u.
- DFT formation energy: 3.30 eV per formula unit

a = 5.5473 Å, b = 5.5473 Å, c = 5.5473 Å
α = 90.00°, β = 90.00°, γ = 90.00°
Element x y z (fractional)
Sc: 0.0000 0.0000 0.0000
Tl: 0.0000 0.5000 0.5000
Tl: 0.5000 0.0000 0.5000
Tl: 0.5000 0.5000 0.0000
Sn: 0.5000 0.5000 0.5000

No. 7
Entry from Alexandria: a crystal of RbTiTeI2 relaxed with PBEsol (meta-GGA SCAN).

Results
- Symmetry: P4/mmm
- Total magnetic moment: 1.043 μB/f.u.
- ΔE_f (raw): 509 meV per atom

a = 6.2739 Å, b = 6.2739 Å, c = 6.0695 Å
α = 90.00°, β = 90.00°, γ = 90.00°
Element x y z (fractional)
Rb: 0.0000 0.0000 0.0000
Ti: 0.5000 0.5000 0.5000
Te: 0.0000 0.0000 0.5000
I: 0.0000 0.5000 0.0000
I: 0.5000 0.0000 0.0000

No. 8
Entry from Alexandria: a crystal of Cu3Se2 relaxed with PBEsol (meta-GGA SCAN).

Results
- Symmetry: P-3m1
- Total magnetic moment: 0.000 μB/f.u.
- ΔE_f (raw): -61 meV per atom

a = 3.7714 Å, b = 3.7714 Å, c = 6.4148 Å
α = 90.00°, β = 90.00°, γ = 120.00°
Element x y z (fractional)
Cu: 0.0000 0.0000 0.0000
Cu: 0.3333 0.6667 0.4009
Cu: 0.6667 0.3333 0.5991
Se: 0.3333 0.6667 0.7821
Se: 0.6667 0.3333 0.2179

No. 9
Entry from Alexandria: a crystal of Na3DyCl6 relaxed with PBEsol (meta-GGA SCAN).

Results
- Symmetry: P2_1/c
- Total magnetic moment: 0.000 μB/f.u.
- ΔE_f (raw): -2233 meV per atom

a = 6.7714 Å, b = 7.2505 Å, c = 11.9905 Å
α = 90.00°, β = 123.27°, γ = 90.00°
Element x y z (fractional)
Na: 0.0000 0.0000 0.0000
Na: 0.0000 0.5000 0.5000
Na: 0.2102 0.0820 0.7406
Na: 0.2102 0.4180 0.2406
Na: 0.7898 0.5820 0.7594
Na: 0.7898 0.9180 0.2594
Dy: 0.5000 0.0000 0.5000
Dy: 0.5000 0.5000 0.0000
Cl: 0.1196 0.1820 0.4337
Cl: 0.1196 0.3180 0.9337
Cl: 0.2461 0.6980 0.4176
Cl: 0.2461 0.8020 0.9176
Cl: 0.4055 0.0666 0.2601
Cl: 0.4055 0.4334 0.7601
Cl: 0.5945 0.5666 0.2399
Cl: 0.5945 0.9334 0.7399
Cl: 0.7539 0.1980 0.0824
Cl: 0.7539 0.3020 0.5824
Cl: 0.8804 0.6820 0.0663
Cl: 0.8804 0.8180 0.5663

No. 10
Entry from Alexandria: a crystal of Sr2TcPt relaxed with PBEsol (meta-GGA SCAN).

Results
- Symmetry: Amm2
- Total magnetic moment: 0.549 μB/f.u.
- DFT formation energy: -0.39 eV per formula unit

a = 4.4024 Å, b = 5.8285 Å, c = 5.8285 Å
α = 48.01°, β = 90.00°, γ = 90.00°
Element x y z (fractional)
Sr: 0.0000 0.0000 0.0000
Sr: 0.5000 0.2909 0.2909
Tc: 0.0000 0.6874 0.6874
Pt: 0.5000 0.5981 0.5981

No. 11
Entry from Alexandria: a crystal of Hf2Be2Au relaxed with PBEsol (meta-GGA SCAN).

Results
- Symmetry: P4/mbm
- Total magnetic moment: 0.000 μB/f.u.
- DFT formation energy: -2.74 eV per formula unit

a = 6.2581 Å, b = 6.2581 Å, c = 3.7649 Å
α = 90.00°, β = 90.00°, γ = 90.00°
Element x y z (fractional)
Hf: 0.1705 0.3295 0.0000
Hf: 0.3295 0.8295 0.0000
Hf: 0.6705 0.1705 0.0000
Hf: 0.8295 0.6705 0.0000
Be: 0.1243 0.6243 0.5000
Be: 0.3757 0.1243 0.5000
Be: 0.6243 0.8757 0.5000
Be: 0.8757 0.3757 0.5000
Au: 0.0000 0.0000 0.5000
Au: 0.5000 0.5000 0.5000

No. 12
Entry from Alexandria: a crystal of SnSbC2 relaxed with PBEsol (meta-GGA SCAN).

Results
- Symmetry: Fm-3m
- Total magnetic moment: 0.000 μB/f.u.
- ΔE_f (raw): 2350 meV per atom

a = 4.3368 Å, b = 4.3368 Å, c = 4.3368 Å
α = 60.00°, β = 60.00°, γ = 60.00°
Element x y z (fractional)
Sn: 0.0000 0.0000 0.0000
Sb: 0.5000 0.5000 0.5000
C: 0.2500 0.2500 0.2500
C: 0.7500 0.7500 0.7500